(1)
The following is a DFT calculation (PBE) of crystalline Na3P2N4 at its relaxed geometry.

Output
* SG: C2/c (15)
* density of states at the Fermi level: 0.625 states/eV/cell
* V: 16.621 Å³/atom
* energy: -104.1 eV for the cell shown

CIF file:
```
data_Na3P2N4
_chemical_formula_sum 'Na6 P4 N8'
_space_group_name_H-M_alt 'P 1'
_space_group_IT_number 1
_cell_length_a 9.343
_cell_length_b 9.343
_cell_length_c 4.998
_cell_angle_alpha 105.18
_cell_angle_beta 105.18
_cell_angle_gamma 45.66
loop_
_space_group_symop_operation_xyz
'x,y,z'
loop_
_atom_site_label
_atom_site_type_symbol
_atom_site_fract_x
_atom_site_fract_y
_atom_site_fract_z
Na1 Na 0.012 0.702 0.116
Na2 Na 0.202 0.798 0.750
Na3 Na 0.298 0.988 0.384
Na4 Na 0.702 0.012 0.616
Na5 Na 0.798 0.202 0.250
Na6 Na 0.988 0.298 0.884
P1 P 0.171 0.393 0.583
P2 P 0.393 0.171 0.083
P3 P 0.607 0.829 0.917
P4 P 0.829 0.607 0.417
N1 N 0.007 0.360 0.450
N2 N 0.250 0.367 0.914
N3 N 0.360 0.007 0.950
N4 N 0.367 0.250 0.414
N5 N 0.633 0.750 0.586
N6 N 0.640 0.993 0.050
N7 N 0.750 0.633 0.086
N8 N 0.993 0.640 0.550
```


(2)
The following is a DFT calculation (PBE) of crystalline Na2PN3 at its relaxed geometry.

Output
* SG: P6_3/mmc (194)
* density of states at the Fermi level: 0.003 states/eV/cell
* V: 16.661 Å³/atom
* energy: -64.2 eV for the cell shown

CIF file:
```
data_Na2PN3
_chemical_formula_sum 'Na4 P2 N6'
_space_group_name_H-M_alt 'P 1'
_space_group_IT_number 1
_cell_length_a 5.912
_cell_length_b 5.912
_cell_length_c 6.606
_cell_angle_alpha 90.00
_cell_angle_beta 90.00
_cell_angle_gamma 120.00
loop_
_space_group_symop_operation_xyz
'x,y,z'
loop_
_atom_site_label
_atom_site_type_symbol
_atom_site_fract_x
_atom_site_fract_y
_atom_site_fract_z
Na1 Na 0.000 0.000 0.000
Na2 Na 0.000 0.000 0.500
Na3 Na 0.333 0.667 0.250
Na4 Na 0.667 0.333 0.750
P1 P 0.333 0.667 0.750
P2 P 0.667 0.333 0.250
N1 N 0.181 0.362 0.750
N2 N 0.181 0.819 0.750
N3 N 0.362 0.181 0.250
N4 N 0.638 0.819 0.750
N5 N 0.819 0.181 0.250
N6 N 0.819 0.638 0.250
```


(3)
The following is a DFT calculation (PBE) of crystalline NaPaP2N6 at its relaxed geometry.

Output
* SG: C2/c (15)
* density of states at the Fermi level: 0.000 states/eV/cell
* V: 12.295 Å³/atom
* energy: -156.6 eV for the cell shown

CIF file:
```
data_NaPaP2N6
_chemical_formula_sum 'Na2 Pa2 P4 N12'
_space_group_name_H-M_alt 'P 1'
_space_group_IT_number 1
_cell_length_a 7.225
_cell_length_b 7.225
_cell_length_c 4.782
_cell_angle_alpha 91.75
_cell_angle_beta 91.75
_cell_angle_gamma 99.55
loop_
_space_group_symop_operation_xyz
'x,y,z'
loop_
_atom_site_label
_atom_site_type_symbol
_atom_site_fract_x
_atom_site_fract_y
_atom_site_fract_z
Na1 Na 0.069 0.931 0.750
Na2 Na 0.931 0.069 0.250
Pa1 Pa 0.272 0.728 0.250
Pa2 Pa 0.728 0.272 0.750
P1 P 0.233 0.381 0.673
P2 P 0.381 0.233 0.173
P3 P 0.619 0.767 0.827
P4 P 0.767 0.619 0.327
N1 N 0.028 0.271 0.722
N2 N 0.233 0.610 0.767
N3 N 0.271 0.028 0.222
N4 N 0.293 0.400 0.343
N5 N 0.390 0.767 0.733
N6 N 0.400 0.293 0.843
N7 N 0.600 0.707 0.157
N8 N 0.610 0.233 0.267
N9 N 0.707 0.600 0.657
N10 N 0.729 0.972 0.778
N11 N 0.767 0.390 0.233
N12 N 0.972 0.729 0.278
```


(4)
The following is a DFT calculation (PBE) of crystalline Na3Pa3PN8 at its relaxed geometry.

Output
* SG: C2/m (12)
* density of states at the Fermi level: 10.958 states/eV/cell
* V: 15.877 Å³/atom
* energy: -115.3 eV for the cell shown

CIF file:
```
data_Na3Pa3PN8
_chemical_formula_sum 'Na3 Pa3 P1 N8'
_space_group_name_H-M_alt 'P 1'
_space_group_IT_number 1
_cell_length_a 7.035
_cell_length_b 7.035
_cell_length_c 6.763
_cell_angle_alpha 117.40
_cell_angle_beta 117.40
_cell_angle_gamma 56.56
loop_
_space_group_symop_operation_xyz
'x,y,z'
loop_
_atom_site_label
_atom_site_type_symbol
_atom_site_fract_x
_atom_site_fract_y
_atom_site_fract_z
Na1 Na 0.000 0.000 0.000
Na2 Na 0.000 0.500 0.000
Na3 Na 0.500 0.000 0.000
Pa1 Pa 0.000 0.500 0.500
Pa2 Pa 0.500 0.000 0.500
Pa3 Pa 0.500 0.500 0.500
P1 P 0.000 0.000 0.500
N1 N 0.160 0.783 0.648
N2 N 0.217 0.840 0.352
N3 N 0.285 0.285 0.726
N4 N 0.292 0.292 0.308
N5 N 0.708 0.708 0.692
N6 N 0.715 0.715 0.274
N7 N 0.783 0.160 0.648
N8 N 0.840 0.217 0.352
```


(5)
The following is a DFT calculation (PBE) of crystalline NaPa2P2N6 at its relaxed geometry.

Output
* SG: C2/m (12)
* density of states at the Fermi level: 2.580 states/eV/cell
* V: 16.806 Å³/atom
* energy: -90.7 eV for the cell shown

CIF file:
```
data_NaPa2P2N6
_chemical_formula_sum 'Na1 Pa2 P2 N6'
_space_group_name_H-M_alt 'P 1'
_space_group_IT_number 1
_cell_length_a 6.278
_cell_length_b 6.278
_cell_length_c 6.495
_cell_angle_alpha 118.67
_cell_angle_beta 118.67
_cell_angle_gamma 60.21
loop_
_space_group_symop_operation_xyz
'x,y,z'
loop_
_atom_site_label
_atom_site_type_symbol
_atom_site_fract_x
_atom_site_fract_y
_atom_site_fract_z
Na1 Na 0.000 0.000 0.000
Pa1 Pa 0.311 0.311 0.696
Pa2 Pa 0.689 0.689 0.304
P1 P 0.390 0.390 0.326
P2 P 0.610 0.610 0.674
N1 N 0.102 0.511 0.354
N2 N 0.426 0.426 0.113
N3 N 0.489 0.898 0.646
N4 N 0.511 0.102 0.354
N5 N 0.574 0.574 0.887
N6 N 0.898 0.489 0.646
```


(6)
The following is a DFT calculation (PBE) of crystalline Na4Pa3PN8 at its relaxed geometry.

Output
* SG: C2/m (12)
* V: 15.164 Å³/atom
* energy: -118.3 eV for the cell shown

CIF file:
```
data_Na4Pa3PN8
_chemical_formula_sum 'Na4 Pa3 P1 N8'
_space_group_name_H-M_alt 'P 1'
_space_group_IT_number 1
_cell_length_a 7.068
_cell_length_b 7.068
_cell_length_c 6.767
_cell_angle_alpha 116.71
_cell_angle_beta 116.71
_cell_angle_gamma 56.57
loop_
_space_group_symop_operation_xyz
'x,y,z'
loop_
_atom_site_label
_atom_site_type_symbol
_atom_site_fract_x
_atom_site_fract_y
_atom_site_fract_z
Na1 Na 0.000 0.000 0.000
Na2 Na 0.000 0.500 0.000
Na3 Na 0.500 0.000 0.000
Na4 Na 0.500 0.500 0.000
Pa1 Pa 0.000 0.000 0.500
Pa2 Pa 0.000 0.500 0.500
Pa3 Pa 0.500 0.000 0.500
P1 P 0.500 0.500 0.500
N1 N 0.207 0.207 0.690
N2 N 0.209 0.209 0.264
N3 N 0.275 0.660 0.645
N4 N 0.340 0.725 0.355
N5 N 0.660 0.275 0.645
N6 N 0.725 0.340 0.355
N7 N 0.791 0.791 0.736
N8 N 0.793 0.793 0.310
```


(7)
The following is a DFT calculation (PBE) of crystalline NaPa2PN5 at its relaxed geometry.

Output
* SG: P4/mbm (127)
* density of states at the Fermi level: 9.494 states/eV/cell
* V: 13.189 Å³/atom
* energy: -150.5 eV for the cell shown

CIF file:
```
data_NaPa2PN5
_chemical_formula_sum 'Na2 Pa4 P2 N10'
_space_group_name_H-M_alt 'P 1'
_space_group_IT_number 1
_cell_length_a 6.631
_cell_length_b 6.631
_cell_length_c 5.399
_cell_angle_alpha 90.00
_cell_angle_beta 90.00
_cell_angle_gamma 90.00
loop_
_space_group_symop_operation_xyz
'x,y,z'
loop_
_atom_site_label
_atom_site_type_symbol
_atom_site_fract_x
_atom_site_fract_y
_atom_site_fract_z
Na1 Na 0.000 0.000 0.000
Na2 Na 0.500 0.500 0.000
Pa1 Pa 0.187 0.313 0.500
Pa2 Pa 0.313 0.813 0.500
Pa3 Pa 0.687 0.187 0.500
Pa4 Pa 0.813 0.687 0.500
P1 P 0.000 0.500 0.000
P2 P 0.500 0.000 0.000
N1 N 0.000 0.000 0.500
N2 N 0.129 0.629 0.232
N3 N 0.129 0.629 0.768
N4 N 0.371 0.129 0.232
N5 N 0.371 0.129 0.768
N6 N 0.500 0.500 0.500
N7 N 0.629 0.871 0.232
N8 N 0.629 0.871 0.768
N9 N 0.871 0.371 0.232
N10 N 0.871 0.371 0.768
```


(8)
The following is a DFT calculation (PBE) of crystalline NaPaPN4 at its relaxed geometry.

Output
* SG: P2_1/m (11)
* density of states at the Fermi level: 8.953 states/eV/cell
* V: 15.700 Å³/atom
* energy: -108.7 eV for the cell shown

CIF file:
```
data_NaPaPN4
_chemical_formula_sum 'Na2 Pa2 P2 N8'
_space_group_name_H-M_alt 'P 1'
_space_group_IT_number 1
_cell_length_a 5.746
_cell_length_b 5.299
_cell_length_c 7.222
_cell_angle_alpha 90.00
_cell_angle_beta 91.48
_cell_angle_gamma 90.00
loop_
_space_group_symop_operation_xyz
'x,y,z'
loop_
_atom_site_label
_atom_site_type_symbol
_atom_site_fract_x
_atom_site_fract_y
_atom_site_fract_z
Na1 Na 0.089 0.250 0.373
Na2 Na 0.911 0.750 0.627
Pa1 Pa 0.281 0.250 0.928
Pa2 Pa 0.719 0.750 0.072
P1 P 0.206 0.750 0.164
P2 P 0.794 0.250 0.836
N1 N 0.011 0.250 0.696
N2 N 0.088 0.750 0.950
N3 N 0.387 0.509 0.171
N4 N 0.387 0.991 0.171
N5 N 0.613 0.009 0.829
N6 N 0.613 0.491 0.829
N7 N 0.912 0.250 0.050
N8 N 0.989 0.750 0.304
```


(9)
The following is a DFT calculation (PBE) of crystalline Na3Pa2PN6 at its relaxed geometry.

Output
* SG: C2/m (12)
* V: 14.341 Å³/atom
* energy: -85.5 eV for the cell shown

CIF file:
```
data_Na3Pa2PN6
_chemical_formula_sum 'Na3 Pa2 P1 N6'
_space_group_name_H-M_alt 'P 1'
_space_group_IT_number 1
_cell_length_a 5.782
_cell_length_b 5.782
_cell_length_c 6.187
_cell_angle_alpha 100.73
_cell_angle_beta 100.73
_cell_angle_gamma 117.08
loop_
_space_group_symop_operation_xyz
'x,y,z'
loop_
_atom_site_label
_atom_site_type_symbol
_atom_site_fract_x
_atom_site_fract_y
_atom_site_fract_z
Na1 Na 0.000 0.000 0.000
Na2 Na 0.356 0.644 0.000
Na3 Na 0.644 0.356 0.000
Pa1 Pa 0.167 0.833 0.500
Pa2 Pa 0.833 0.167 0.500
P1 P 0.500 0.500 0.500
N1 N 0.173 0.442 0.335
N2 N 0.197 0.197 0.715
N3 N 0.442 0.173 0.335
N4 N 0.558 0.827 0.665
N5 N 0.803 0.803 0.285
N6 N 0.827 0.558 0.665
```


(10)
The following is a DFT calculation (PBE) of crystalline NaPmPN2 at its relaxed geometry.

Output
* SG: P2/c (13)
* density of states at the Fermi level: 7.088 states/eV/cell
* V: 15.218 Å³/atom
* energy: -58.6 eV for the cell shown

CIF file:
```
data_NaPmPN2
_chemical_formula_sum 'Na2 Pm2 P2 N4'
_space_group_name_H-M_alt 'P 1'
_space_group_IT_number 1
_cell_length_a 5.557
_cell_length_b 4.294
_cell_length_c 6.561
_cell_angle_alpha 90.00
_cell_angle_beta 103.62
_cell_angle_gamma 90.00
loop_
_space_group_symop_operation_xyz
'x,y,z'
loop_
_atom_site_label
_atom_site_type_symbol
_atom_site_fract_x
_atom_site_fract_y
_atom_site_fract_z
Na1 Na 0.000 0.019 0.250
Na2 Na 0.000 0.981 0.750
Pm1 Pm 0.500 0.284 0.750
Pm2 Pm 0.500 0.716 0.250
P1 P 0.000 0.500 0.000
P2 P 0.000 0.500 0.500
N1 N 0.268 0.272 0.039
N2 N 0.268 0.728 0.539
N3 N 0.732 0.272 0.461
N4 N 0.732 0.728 0.961
```